1.
# PBE-GGA CdAg2BO4, optimized geometry
# Raw formation energy ... -0.845 eV per atom
# Total magnetic moment ... 0.0 μB per formula unit
data_CdAg2BO4
_chemical_formula_sum 'Cd2 Ag4 B2 O8'
_cell_length_a 6.785
_cell_length_b 6.785
_cell_length_c 8.437
_cell_angle_alpha 128.36
_cell_angle_beta 128.36
_cell_angle_gamma 72.00
_space_group_name_H-M_alt 'P 1'
_space_group_IT_number 1
_space_group_name_Hall 'P 1'
loop_
_atom_site_label
_atom_site_type_symbol
_atom_site_fract_x
_atom_site_fract_y
_atom_site_fract_z
_atom_site_occupancy
O1 O 0.251 0.251 0.592 1
O2 O 0.751 0.751 0.092 1
O3 O 0.701 0.393 0.547 1
O4 O 0.893 0.201 0.047 1
O5 O 0.299 0.607 0.453 1
O6 O 0.249 0.249 0.908 1
O7 O 0.749 0.749 0.408 1
O8 O 0.107 0.799 0.953 1
Cd1 Cd 0.000 0.500 0.000 1
Cd2 Cd 0.000 0.500 0.500 1
B1 B 0.500 0.500 0.500 1
B2 B 0.000 0.000 0.000 1
Ag1 Ag 0.500 0.500 0.000 1
Ag2 Ag 0.000 0.000 0.500 1
Ag3 Ag 0.500 0.000 0.500 1
Ag4 Ag 0.500 0.000 0.000 1

=====

2.
# PBE-GGA Cd2AgB2O6, optimized geometry
# Raw formation energy ... -1.475 eV per atom
# Total magnetic moment ... 1.0 μB per formula unit
data_Cd2AgB2O6
_chemical_formula_sum 'Cd2 Ag1 B2 O6'
_cell_length_a 6.064
_cell_length_b 4.913
_cell_length_c 5.593
_cell_angle_alpha 112.17
_cell_angle_beta 83.23
_cell_angle_gamma 69.30
_space_group_name_H-M_alt 'P 1'
_space_group_IT_number 1
_space_group_name_Hall 'P 1'
loop_
_atom_site_label
_atom_site_type_symbol
_atom_site_fract_x
_atom_site_fract_y
_atom_site_fract_z
_atom_site_occupancy
O1 O 0.676 0.133 0.024 1
O2 O 0.739 0.235 0.465 1
O3 O 0.177 0.472 0.765 1
O4 O 0.324 0.867 0.976 1
O5 O 0.823 0.528 0.235 1
O6 O 0.261 0.765 0.535 1
Cd1 Cd 0.761 0.584 0.848 1
Cd2 Cd 0.239 0.416 0.152 1
B1 B 0.748 0.288 0.240 1
B2 B 0.252 0.712 0.760 1
Ag1 Ag 0.500 0.000 0.500 1

=====

3.
# PBE-GGA CdAgB2Pd, optimized geometry
# Total magnetic moment ... 0.0 μB per formula unit
data_CdAgB2Pd
_chemical_formula_sum 'Cd1 Ag1 B2 Pd1'
_cell_length_a 4.209
_cell_length_b 5.242
_cell_length_c 4.209
_cell_angle_alpha 90.00
_cell_angle_beta 90.00
_cell_angle_gamma 90.00
_space_group_name_H-M_alt 'P 1'
_space_group_IT_number 1
_space_group_name_Hall 'P 1'
loop_
_atom_site_label
_atom_site_type_symbol
_atom_site_fract_x
_atom_site_fract_y
_atom_site_fract_z
_atom_site_occupancy
B1 B 0.000 0.000 0.500 1
B2 B 0.500 0.000 0.000 1
Pd1 Pd 0.500 0.500 0.500 1
Ag1 Ag 0.000 0.500 0.000 1
Cd1 Cd 0.000 0.000 0.000 1

=====

4.
# PBE-GGA Cd2AgB2Pt5, optimized geometry
# Total magnetic moment ... 0.0 μB per formula unit
data_Cd2AgB2Pt5
_chemical_formula_sum 'Cd4 Ag2 B4 Pt10'
_cell_length_a 2.955
_cell_length_b 10.125
_cell_length_c 10.125
_cell_angle_alpha 90.00
_cell_angle_beta 90.00
_cell_angle_gamma 90.00
_space_group_name_H-M_alt 'P 1'
_space_group_IT_number 1
_space_group_name_Hall 'P 1'
loop_
_atom_site_label
_atom_site_type_symbol
_atom_site_fract_x
_atom_site_fract_y
_atom_site_fract_z
_atom_site_occupancy
Pt1 Pt 0.500 0.000 0.500 1
Pt2 Pt 0.500 0.940 0.231 1
Pt3 Pt 0.500 0.440 0.269 1
Pt4 Pt 0.500 0.060 0.769 1
Pt5 Pt 0.500 0.560 0.731 1
Pt6 Pt 0.500 0.769 0.940 1
Pt7 Pt 0.500 0.231 0.060 1
Pt8 Pt 0.500 0.500 0.000 1
Pt9 Pt 0.500 0.269 0.560 1
Pt10 Pt 0.500 0.731 0.440 1
Ag1 Ag 0.000 0.000 0.000 1
Ag2 Ag 0.000 0.500 0.500 1
Cd1 Cd 0.000 0.814 0.686 1
Cd2 Cd 0.000 0.686 0.186 1
Cd3 Cd 0.000 0.314 0.814 1
Cd4 Cd 0.000 0.186 0.314 1
B1 B 0.000 0.377 0.123 1
B2 B 0.000 0.877 0.377 1
B3 B 0.000 0.623 0.877 1
B4 B 0.000 0.123 0.623 1

=====

5.
# PBE-GGA CdAgBPt2, optimized geometry
# Total magnetic moment ... 0.0 μB per formula unit
data_CdAgBPt2
_chemical_formula_sum 'Cd1 Ag1 B1 Pt2'
_cell_length_a 4.196
_cell_length_b 4.196
_cell_length_c 4.525
_cell_angle_alpha 90.00
_cell_angle_beta 90.00
_cell_angle_gamma 90.00
_space_group_name_H-M_alt 'P 1'
_space_group_IT_number 1
_space_group_name_Hall 'P 1'
loop_
_atom_site_label
_atom_site_type_symbol
_atom_site_fract_x
_atom_site_fract_y
_atom_site_fract_z
_atom_site_occupancy
Pt1 Pt 0.000 0.500 0.000 1
Pt2 Pt 0.500 0.000 0.000 1
Ag1 Ag 0.000 0.000 0.500 1
Cd1 Cd 0.500 0.500 0.500 1
B1 B 0.000 0.000 0.000 1

=====

6.
# PBE-GGA Cd2AgSnB, optimized geometry
# Total magnetic moment ... 0.0 μB per formula unit
data_Cd2AgSnB
_chemical_formula_sum 'Cd2 Ag1 Sn1 B1'
_cell_length_a 5.345
_cell_length_b 5.345
_cell_length_c 4.142
_cell_angle_alpha 90.00
_cell_angle_beta 90.00
_cell_angle_gamma 90.00
_space_group_name_H-M_alt 'P 1'
_space_group_IT_number 1
_space_group_name_Hall 'P 1'
loop_
_atom_site_label
_atom_site_type_symbol
_atom_site_fract_x
_atom_site_fract_y
_atom_site_fract_z
_atom_site_occupancy
Sn1 Sn 0.500 0.500 0.500 1
Ag1 Ag 0.000 0.000 0.000 1
Cd1 Cd 0.000 0.500 0.000 1
Cd2 Cd 0.500 0.000 0.000 1
B1 B 0.000 0.000 0.500 1

=====

| no. | Fermi-level density of states (states/eV/cell) | total energy (eV/atom) |
| --- | --- | --- |
| 1 | 7.724 | -4.9862 |
| 2 | 1.133 | -5.8189 |
| 3 | 2.823 | -2.7010 |
| 4 | 6.506 | -5.0131 |
| 5 | 2.757 | -4.6127 |
| 6 | 2.426 | -2.3004 |